A plane-wave DFT calculation with PBE-GGA was carried out for a geometry-optimized Rb3Cd8Ag3 structure.

```
Rb3Cd8Ag3
1.0
4.8534 0.0000 1.2437
2.1224 9.3109 1.8091
0.0969 0.3356 9.7134
Ag Rb Cd
3 3 8
direct
0.5000 0.0000 0.0000
0.0000 0.2430 0.7570
0.0000 0.7570 0.2430
0.5000 0.5000 0.5000
0.8129 0.1871 0.1871
0.1871 0.8129 0.8129
0.6026 0.6873 0.1076
0.8069 0.4928 0.8934
0.3974 0.3127 0.8924
0.6026 0.1076 0.6873
0.8069 0.8934 0.4928
0.1931 0.5072 0.1066
0.3974 0.8924 0.3127
0.1931 0.1066 0.5072
```

## Properties
Raw total energy in eV per atom: -1.374
DFT formation energy in eV per formula unit: -0.46
Calculated density in g/cm3: 5.637
Volume in Å³ per cell: 436
Total magnetization in Bohr magnetons per cell: 0.00